CdRuAu3: single point on PBEsol structure, SCAN.

Lattice parameters (Å, degrees): 4.9279 4.9279 4.9279 90.00 90.00 90.00
Closest atoms and distances in Å follow each position.
Fractional coordinates of all 5 atoms:
1 Ru 0.5000 0.5000 0.5000  12 Au 3.48
2 Au 0.0000 0.5000 0.0000  2 Cd 2.46
3 Au 0.0000 0.0000 0.5000  2 Cd 2.46
4 Au 0.5000 0.0000 0.0000  2 Cd 2.46
5 Cd 0.0000 0.0000 0.0000  6 Au 2.46

Computed properties:
crystal system = cubic
Fermi-level density of states = 3.844 states/eV per cell
ρ = 11.162 g/cm³
E_tot = -53.154 eV per atom
space-group type = No. 221
formation energy = 1389 meV per atom


CdRu2Au: single point on PBEsol structure, SCAN.

Lattice parameters (Å, degrees): 2.8159 4.7421 4.9280 99.32 90.00 107.27
Closest atoms and distances in Å follow each position.
Fractional coordinates of all 4 atoms:
1 Au 0.5038 0.0077 0.4918  3 Cd 2.65-2.78, 7 Ru 2.73-2.96, 2 Au 2.82
2 Cd 0.7483 0.4967 0.2625  3 Au 2.65-2.78, 7 Ru 2.76-2.92, 2 Cd 2.82
3 Ru 0.9919 0.9838 0.9612  5 Ru 2.58-2.82, 2 Au 2.73, 1 Cd 2.86
4 Ru 0.2560 0.5119 0.7845  5 Ru 2.58-2.82, 2 Cd 2.76, 3 Au 2.86-2.87

Computed properties:
crystal system = monoclinic
Fermi-level density of states = 2.604 states/eV per cell
ρ = 13.716 g/cm³
E_tot = -42.011 eV per atom
space-group type = No. 8
formation energy = 295 meV per atom


CdRu2Au: single point on PBEsol structure, SCAN.

Lattice parameters (Å, degrees): 2.8009 3.6881 6.0754 90.00 90.00 90.00
Closest atoms and distances in Å follow each position.
Fractional coordinates of all 4 atoms:
1 Au 0.0000 0.0000 0.4899  5 Ru 2.74-2.85, 2 Au 2.80, 4 Cd 2.82
2 Cd 0.5000 0.5000 0.7543  2 Cd 2.80, 5 Ru 2.81-2.89, 4 Au 2.82
3 Ru 0.0000 0.0000 0.0385  6 Ru 2.56-2.80, 1 Au 2.74
4 Ru 0.5000 0.5000 0.2173  6 Ru 2.56-2.80, 1 Cd 2.81, 4 Au 2.85

Computed properties:
crystal system = orthorhombic
Fermi-level density of states = 2.070 states/eV per cell
ρ = 13.534 g/cm³
E_tot = -42.128 eV per atom
space-group type = No. 25
formation energy = 178 meV per atom


CdSb2Au: single point on PBEsol structure, SCAN.

Lattice parameters (Å, degrees): 5.0704 5.0704 5.0704 60.00 60.00 60.00
Closest atoms and distances in Å follow each position.
Fractional coordinates of all 4 atoms:
1 Sb 0.0000 0.0000 0.0000  4 Cd 3.10, 4 Sb 3.10
2 Sb 0.7500 0.7500 0.7500  4 Sb 3.10, 4 Au 3.10
3 Au 0.5000 0.5000 0.5000  4 Cd 3.10, 4 Sb 3.10
4 Cd 0.2500 0.2500 0.2500  4 Sb 3.10, 4 Au 3.10

Computed properties:
crystal system = cubic
Fermi-level density of states = 1.926 states/eV per cell
ρ = 9.961 g/cm³
E_tot = -43.318 eV per atom
formation energy (no corrections) = 205 meV/atom
space-group type = No. 216